(1)
Computed, not measured: an optimized crystal structure of ScIn2P at the GGA-PBE level of DFT.

Results
- crystal system = tetragonal
- V (Å³/atom) = 21.27
- calculated formation energy (eV/atom) = -0.27

a = 4.0605 Å, b = 4.0605 Å, c = 5.1602 Å
α = 90.00°, β = 90.00°, γ = 90.00°
Space group P4/mmm (No. 123)
Symmetry-distinct sites (fractional):
Sc 0.0000 0.0000 0.0000 x1
In 0.0000 0.5000 0.5000 x2
P 0.5000 0.5000 0.0000 x1

---

(2)
Computed, not measured: an optimized crystal structure of LaPm2US8 at the GGA-PBE level of DFT.

Results
- crystal system = orthorhombic
- V (Å³/atom) = 24.28
- energy relative to the elements, uncorrected (kcal/mol of atoms) = -36.538

a = 4.7361 Å, b = 6.6940 Å, c = 9.1891 Å
α = 90.00°, β = 90.00°, γ = 90.00°
Space group Pmmm (No. 47)
Symmetry-distinct sites (fractional):
La 0.0000 0.0000 0.0000 x1
Pm 0.5000 0.5000 0.2499 x2
U 0.0000 0.0000 0.5000 x1
S 0.0000 0.2463 0.2752 x4
S 0.5000 0.2219 0.5000 x2
S 0.5000 0.2550 0.0000 x2

---

(3)
Computed, not measured: an optimized crystal structure of SrScPdS2 at the GGA-PBE level of DFT.

Results
- crystal system = tetragonal
- V (Å³/atom) = 25.22
- energy relative to the elements, uncorrected (kcal/mol of atoms) = -2.361

a = 5.0082 Å, b = 5.0082 Å, c = 5.0268 Å
α = 90.00°, β = 90.00°, γ = 90.00°
Space group P4/mmm (No. 123)
Symmetry-distinct sites (fractional):
Sr 0.0000 0.0000 0.0000 x1
Sc 0.5000 0.5000 0.0000 x1
Pd 0.0000 0.0000 0.5000 x1
S 0.0000 0.5000 0.5000 x2

---

(4)
Computed, not measured: an optimized crystal structure of LiMnSe2 at the GGA-PBE level of DFT.

Results
- crystal system = monoclinic
- V (Å³/atom) = 21.58
- energy relative to the elements, uncorrected (kcal/mol of atoms) = -13.451

a = 13.3284 Å, b = 3.5905 Å, c = 3.6070 Å
α = 90.00°, β = 90.24°, γ = 90.00°
Space group Cm (No. 8)
Symmetry-distinct sites (fractional):
Li 0.0000 0.0000 0.0000 x2
Mn 0.3461 0.0000 0.4966 x2
Se 0.0260 0.5000 0.5003 x2
Se 0.2954 0.5000 0.9963 x2

---

(5)
Computed, not measured: an optimized crystal structure of PRhS3 at the GGA-PBE level of DFT.

Results
- crystal system = cubic
- V (Å³/atom) = 17.24
- energy relative to the elements, uncorrected (kcal/mol of atoms) = 19.424

a = 4.4176 Å, b = 4.4176 Å, c = 4.4176 Å
α = 90.00°, β = 90.00°, γ = 90.00°
Space group Pm-3m (No. 221)
Symmetry-distinct sites (fractional):
P 0.0000 0.0000 0.0000 x1
Rh 0.5000 0.5000 0.5000 x1
S 0.0000 0.0000 0.5000 x3

---

The records above yield total magnetization values of 0.000, 0.000, 0.309, 0.998, 0.438 μB/atom, respectively.